Compound: KH8WN2O3F3
Source: the Alexandria database
Functional: PBE+U
Structure: relaxed

Computed properties:
For the density of states at the Fermi level, the calculation gives 0.00 states/eV/f.u. The value obtained for the energy is -193.01 eV for the cell shown.

Structure (CIF):
```
data_KH8WN2O3F3
_chemical_formula_sum 'K2 H16 W2 N4 O6 F6'
_cell_length_a 6.302
_cell_length_b 6.419
_cell_length_c 11.360
_cell_angle_alpha 90.00
_cell_angle_beta 123.36
_cell_angle_gamma 90.00
_space_group_name_H-M_alt 'P 1 c 1'
_space_group_IT_number 7
loop_
_space_group_symop_operation_xyz
'x,y,z'
'x,-y,z+1/2'
loop_
_atom_site_label
_atom_site_type_symbol
_atom_site_fract_x
_atom_site_fract_y
_atom_site_fract_z
K1 K 0.000 0.239 0.000
H1 H 0.014 0.205 0.725
H2 H 0.219 0.247 0.675
H3 H 0.280 0.043 0.785
H4 H 0.301 0.299 0.842
H5 H 0.588 0.238 0.270
H6 H 0.701 0.181 0.165
H7 H 0.724 0.430 0.228
H8 H 0.904 0.236 0.338
W1 W 0.503 0.281 0.500
N1 N 0.205 0.198 0.757
N2 N 0.730 0.271 0.249
O1 O 0.338 0.477 0.974
O2 O 0.371 0.202 0.312
O3 O 0.716 0.285 0.697
F1 F 0.230 0.119 0.500
F2 F 0.680 0.022 0.036
F3 F 0.790 0.409 0.500
```